# 1
Sr2NdTcO6 | GGA-PBE | relaxed

Properties
Theoretical density (g cm⁻³): 5.75
E (eV/atom): -7.327

a = 5.8838 Å, b = 6.0158 Å, c = 10.1901 Å
α = 90.00°, β = 124.66°, γ = 90.00°
Fractional positions:
Sr  0.2373  0.0446  0.2501
Sr  0.2373  0.4554  0.7501
Sr  0.7627  0.5446  0.2499
Sr  0.7627  0.9554  0.7499
Nd  0.5000  0.0000  0.0000
Nd  0.5000  0.5000  0.5000
Tc  0.0000  0.0000  0.5000
Tc  0.0000  0.5000  0.0000
O  0.1340  0.2292  0.9490
O  0.1340  0.2708  0.4490
O  0.2247  0.6900  0.9544
O  0.2247  0.8100  0.4544
O  0.3167  0.0295  0.7276
O  0.3167  0.4705  0.2276
O  0.6833  0.5295  0.7724
O  0.6833  0.9705  0.2724
O  0.7753  0.1900  0.5456
O  0.7753  0.3100  0.0456
O  0.8660  0.7292  0.5510
O  0.8660  0.7708  0.0510

# 2
V2GaCo2 | GGA-PBE | relaxed

Properties
ΔE_f (kJ/mol of formula units): -81
Theoretical density (g cm⁻³): 7.64

a = 6.7602 Å, b = 6.7602 Å, c = 2.7531 Å
α = 90.00°, β = 90.00°, γ = 90.00°
Fractional positions:
V  0.1686  0.3314  0.0000
V  0.3314  0.8314  0.0000
V  0.6686  0.1686  0.0000
V  0.8314  0.6686  0.0000
Ga  0.0000  0.0000  0.5000
Ga  0.5000  0.5000  0.5000
Co  0.1278  0.6278  0.5000
Co  0.3722  0.1278  0.5000
Co  0.6278  0.8722  0.5000
Co  0.8722  0.3722  0.5000

# 3
GaTe3Ru | GGA-PBE | relaxed

Properties
Offset from the most stable computed form (meV per atom): 759
Theoretical density (g cm⁻³): 6.53

a = 5.2019 Å, b = 5.2019 Å, c = 5.2019 Å
α = 90.00°, β = 90.00°, γ = 90.00°
Fractional positions:
Ga  0.0000  0.0000  0.0000
Te  0.0000  0.0000  0.5000
Te  0.0000  0.5000  0.0000
Te  0.5000  0.0000  0.0000
Ru  0.5000  0.5000  0.5000

# 4
Na6As2Pt | GGA-PBE | relaxed

Properties
ΔE_f (kJ/mol of formula units): -363
Theoretical density (g cm⁻³): 3.80

a = 9.8594 Å, b = 9.8594 Å, c = 9.8594 Å
α = 29.90°, β = 29.90°, γ = 29.90°
Fractional positions:
Na  0.0824  0.0824  0.0824
Na  0.1986  0.1986  0.1986
Na  0.3074  0.3074  0.3074
Na  0.6926  0.6926  0.6926
Na  0.8014  0.8014  0.8014
Na  0.9176  0.9176  0.9176
As  0.4118  0.4118  0.4118
As  0.5882  0.5882  0.5882
Pt  0.5000  0.5000  0.5000

# 5
Tb5Pm2Nd6 | GGA-PBE | relaxed

Properties
ΔE_f (kJ/mol of formula units): 123
Theoretical density (g cm⁻³): 7.23

a = 11.8548 Å, b = 20.6764 Å, c = 3.6557 Å
α = 90.00°, β = 90.00°, γ = 90.00°
Fractional positions:
Tb  0.0000  0.0000  0.0000
Tb  0.0913  0.2762  0.0000
Tb  0.1988  0.5555  0.0000
Tb  0.3012  0.0555  0.0000
Tb  0.4087  0.7762  0.0000
Tb  0.5000  0.5000  0.0000
Tb  0.5913  0.2238  0.0000
Tb  0.6988  0.9445  0.0000
Tb  0.8012  0.4445  0.0000
Tb  0.9087  0.7238  0.0000
Pm  0.1683  0.7139  0.5000
Pm  0.3317  0.2139  0.5000
Pm  0.6683  0.7861  0.5000
Pm  0.8317  0.2861  0.5000
Nd  0.0601  0.4219  0.5000
Nd  0.0804  0.1340  0.5000
Nd  0.1768  0.8697  0.0000
Nd  0.3232  0.3697  0.0000
Nd  0.4196  0.6340  0.5000
Nd  0.4399  0.9219  0.5000
Nd  0.5601  0.0781  0.5000
Nd  0.5804  0.3660  0.5000
Nd  0.6768  0.6303  0.0000
Nd  0.8232  0.1303  0.0000
Nd  0.9196  0.8660  0.5000
Nd  0.9399  0.5781  0.5000

# 6
SmPuHg3 | GGA-PBE | relaxed

Properties
ΔE_f (kJ/mol of formula units): -135
Theoretical density (g cm⁻³): 12.98

a = 15.0495 Å, b = 15.0495 Å, c = 5.0119 Å
α = 90.00°, β = 90.00°, γ = 167.03°
Fractional positions:
Sm  0.0737  0.9263  0.7500
Sm  0.9263  0.0737  0.2500
Pu  0.2163  0.7837  0.2500
Pu  0.7837  0.2163  0.7500
Hg  0.3251  0.6749  0.2500
Hg  0.3788  0.6212  0.7500
Hg  0.4759  0.5241  0.7500
Hg  0.5241  0.4759  0.2500
Hg  0.6212  0.3788  0.2500
Hg  0.6749  0.3251  0.7500

# 7
Sm3Y4Ga4 | GGA-PBE | relaxed

Properties
ΔE_f (kJ/mol of formula units): -405
Theoretical density (g cm⁻³): 6.11

a = 9.4641 Å, b = 9.4641 Å, c = 9.4641 Å
α = 149.39°, β = 136.53°, γ = 54.10°
Fractional positions:
Sm  0.0000  0.0000  0.0000
Sm  0.4006  0.9006  0.5000
Sm  0.5994  0.0994  0.5000
Y  0.0535  0.3232  0.7304
Y  0.4072  0.6768  0.7304
Y  0.5928  0.3232  0.2696
Y  0.9465  0.6768  0.2696
Ga  0.1802  0.1802  0.0000
Ga  0.3064  0.5000  0.8064
Ga  0.6936  0.5000  0.1936
Ga  0.8198  0.8198  0.0000

# 8
LiSmY2 | GGA-PBE | relaxed

Properties
ΔE_f (kJ/mol of formula units): 43
Offset from the most stable computed form (meV per atom): 48
Theoretical density (g cm⁻³): 4.53

a = 3.5523 Å, b = 3.5523 Å, c = 33.7076 Å
α = 90.00°, β = 90.00°, γ = 120.00°
Fractional positions:
Li  0.0000  0.0000  0.0000
Li  0.3333  0.6667  0.6667
Li  0.6667  0.3333  0.3333
Sm  0.0000  0.0000  0.1666
Sm  0.3333  0.6667  0.8332
Sm  0.6667  0.3333  0.4999
Y  0.0000  0.0000  0.4132
Y  0.0000  0.0000  0.5865
Y  0.3333  0.6667  0.0799
Y  0.3333  0.6667  0.2532
Y  0.6667  0.3333  0.7466
Y  0.6667  0.3333  0.9199